La5Sm2Cd | PBE | optimized geometry

electronic total energy	-35.4	eV per cell
excess energy over the best structure of this formula in the dataset	7	meV per atom
energy of formation from the pure elements	-0.0505	eV per atom

a = 7.2343 Å, b = 7.2343 Å, c = 7.2343 Å
α = 119.63°, β = 90.63°, γ = 119.64°
With the nearest neighbours (Å) after each atom.
Positions (direct):
La  0.0000  0.0000  0.0000  8 La 3.62, 4 Sm 3.63-3.64
La  0.0005  0.9999  0.5001  2 Cd 3.61-3.62, 4 Sm 3.62, 6 La 3.62-3.64
La  0.0005  0.5005  0.0006  2 Cd 3.61-3.62, 4 Sm 3.62, 6 La 3.62-3.64
La  0.4999  0.9999  0.9994  2 Cd 3.61-3.62, 4 Sm 3.62, 6 La 3.62-3.64
La  0.4999  0.5005  0.4999  2 Cd 3.61-3.62, 4 Sm 3.62, 6 La 3.62-3.64
Sm  0.5008  0.5008  0.0000  10 La 3.62-3.64, 2 Cd 3.64
Sm  0.9989  0.4989  0.5000  10 La 3.62-3.64, 2 Cd 3.62-3.65
Cd  0.5005  0.0005  0.5000  8 La 3.61-3.62, 4 Sm 3.62-3.65